# NdY2Ga2Cu4

NdY2Ga2Cu4 after structural relaxation (GGA-PBE, the Open Quantum Materials Database).

Unit cell a=10.1074 b=4.1725 c=8.2972 alpha=90.00 beta=98.68 gamma=90.00
Closest atoms and distances in Å follow each position.
Space group C2/m (No. 12)
Symmetry-distinct sites (fractional):
Nd  0.0000  0.0000  0.0000 [2 per cell]  8 Cu 2.94-3.27
Y  0.1251  0.5000  0.3796 [4 per cell]  6 Cu 2.84-3.04, 1 Ga 3.16
Ga  0.1815  0.5000  0.7685 [4 per cell]  5 Cu 2.51-2.55
Cu  0.0814  0.0000  0.6327 [4 per cell]  2 Ga 2.51, 1 Cu 2.54
Cu  0.2259  0.5000  0.0780 [4 per cell]  3 Ga 2.54-2.55, 2 Cu 2.54, 1 Y 2.84

Results
energy	-4.67	eV per atom
crystal system	monoclinic